VASP calculation (PBE) on CrCuSb2 after structural relaxation.

Structure (POSCAR):
```
CrCuSb2
1.0
-4.5167 -0.6963 2.0847
-2.1215 -2.9807 -3.4419
4.3059 -0.6195 2.5114
Cr Cu Sb
1 1 2
direct
0.7500 0.2500 0.5000
0.2500 0.7500 0.5000
0.0035 0.0035 0.0000
0.4965 0.4965 0.0000
```

Output
**Formation energy without anion corrections**: 0.33 eV/atom
**Spin magnetization**: 3.495 μB/cell